1.
! PBE-GGA In4Bi2Sb, optimized geometry; values from VASP
! Theoretical density, Mg/m³: 6.53
! Space-group type: Cmcm
! Final energy, eV/atom: -3.135
! N(E_F), states/eV per atom: 0.44
&SYSTEM
  ibrav = 0, nat = 14, ntyp = 3
/
ATOMIC_SPECIES
In 114.82 In.upf
Bi 208.98 Bi.upf
Sb 121.76 Sb.upf
CELL_PARAMETERS angstrom
7.9838 -1.1111 0.0000
-4.0222 6.9856 0.0000
0.0000 0.0000 9.9101
ATOMIC_POSITIONS crystal
In 0.7565 0.7625 0.2500
In 0.7167 0.2833 0.5141
In 0.2833 0.7167 0.4859
In 0.2435 0.2375 0.7500
In 0.2375 0.2435 0.2500
In 0.7167 0.2833 0.9859
In 0.2833 0.7167 0.0141
In 0.7625 0.7565 0.7500
Bi 0.5000 0.5000 0.0000
Bi 0.5000 0.5000 0.5000
Bi 0.1749 0.8251 0.7500
Bi 0.8251 0.1749 0.2500
Sb 0.8391 0.1609 0.7500
Sb 0.1609 0.8391 0.2500


2.
! PBE-GGA Ba2LiTlCu, optimized geometry; values from VASP
! Theoretical density, Mg/m³: 4.58
! Space-group type: P4/mmm
! Offset from the most stable computed form, eV/atom: 0.050
! N(E_F), states/eV per atom: 1.22
! Energy relative to the elements, eV per atom: 0.00
&SYSTEM
  ibrav = 0, nat = 5, ntyp = 4
/
ATOMIC_SPECIES
Cu 63.55 Cu.upf
Li 6.94 Li.upf
Ba 137.33 Ba.upf
Tl 204.38 Tl.upf
CELL_PARAMETERS angstrom
-3.2257 4.8597 2.3493
-5.2032 -3.5277 0.1530
1.1507 -1.4947 4.6719
ATOMIC_POSITIONS crystal
Cu 0.0000 0.0000 0.0000
Li 0.5000 0.5000 0.5000
Ba 0.0000 0.5000 0.0000
Ba 0.5000 0.0000 0.0000
Tl 0.0000 0.0000 0.5000


3.
! PBE-GGA SrTmSn, optimized geometry; values from VASP
! Theoretical density, Mg/m³: 6.34
! Space-group type: Amm2
! N(E_F), states/eV per atom: 0.89
! Energy relative to the elements, eV per atom: -0.33
&SYSTEM
  ibrav = 0, nat = 6, ntyp = 3
/
ATOMIC_SPECIES
Sr 87.62 Sr.upf
Sn 118.71 Sn.upf
Tm 168.93 Tm.upf
CELL_PARAMETERS angstrom
5.1447 0.0000 0.0000
-2.5724 2.5733 0.0000
0.0000 0.0000 14.8512
ATOMIC_POSITIONS crystal
Sr 0.1939 0.3878 0.8407
Sr 0.1939 0.3878 0.1593
Sn 0.6938 0.3877 0.0000
Sn 0.1951 0.3902 0.5000
Tm 0.6949 0.3898 0.6308
Tm 0.6949 0.3898 0.3692


4.
! PBE-GGA MnCoPb2, optimized geometry; values from VASP
! Theoretical density, Mg/m³: 10.16
! Space-group type: R3m
! Offset from the most stable computed form, eV/atom: 0.176
! N(E_F), states/eV per atom: 0.73
! Energy relative to the elements, eV per atom: 0.44
&SYSTEM
  ibrav = 0, nat = 4, ntyp = 3
/
ATOMIC_SPECIES
Mn 54.94 Mn.upf
Pb 207.20 Pb.upf
Co 58.93 Co.upf
CELL_PARAMETERS angstrom
-3.7880 -4.9292 -7.0791
-3.1058 -7.3678 -4.9829
-5.9014 -5.6665 -4.6716
ATOMIC_POSITIONS crystal
Mn 0.7663 0.7663 0.7663
Pb 0.0129 0.0129 0.0129
Pb 0.2308 0.2308 0.2308
Co 0.4899 0.4899 0.4899


5.
! PBE-GGA Er2PaSiC4, optimized geometry; values from VASP
! Theoretical density, Mg/m³: 9.31
! Space-group type: Cmcm
! Final energy, eV/atom: -7.736
! N(E_F), states/eV per atom: 0.65
&SYSTEM
  ibrav = 0, nat = 16, ntyp = 4
/
ATOMIC_SPECIES
Er 167.26 Er.upf
C 12.01 C.upf
Si 28.09 Si.upf
Pa 231.04 Pa.upf
CELL_PARAMETERS angstrom
-1.5352 -2.4598 -1.7805
4.7466 -2.4631 2.5614
-6.5501 -2.7699 9.4743
ATOMIC_POSITIONS crystal
Er 0.6349 0.2699 0.4506
Er 0.6349 0.2699 0.0494
Er 0.3651 0.7301 0.5494
Er 0.3651 0.7301 0.9506
C 0.0000 0.0000 0.5000
C 0.2739 0.5477 0.3654
C 0.0000 0.0000 0.0000
C 0.2739 0.5477 0.1346
C 0.7261 0.4523 0.8654
C 0.5590 0.1181 0.2500
C 0.7261 0.4523 0.6346
C 0.4410 0.8819 0.7500
Si 0.8375 0.6750 0.7500
Si 0.1625 0.3250 0.2500
Pa 0.8961 0.7922 0.2500
Pa 0.1039 0.2078 0.7500